Entry from the Alexandria database: a relaxed MnCo5O12 crystal (PBE with a Hubbard U).

POSCAR file:
```
MnCo5O12
1.0
2.466 -4.277 0.000
2.466 4.277 0.000
-0.019 0.000 10.098
Mn Co O
1 5 12
Direct
0.000 0.000 0.000 Mn
0.167 0.833 0.500 Co
0.333 0.667 0.000 Co
0.500 0.500 0.500 Co
0.667 0.333 0.000 Co
0.833 0.167 0.500 Co
0.000 0.338 0.905 O
0.000 0.662 0.095 O
0.166 0.500 0.407 O
0.167 0.167 0.593 O
0.338 0.000 0.905 O
0.339 0.339 0.095 O
0.500 0.166 0.407 O
0.500 0.834 0.593 O
0.661 0.661 0.905 O
0.662 0.000 0.095 O
0.833 0.833 0.407 O
0.834 0.500 0.593 O
```

Calculated values
Total energy: -5.918 eV/atom
V: 213 Å³/cell